Record 1
# CsNaSn, relaxed, DFT GGA-PBE
# Magnetic moment = 0.0 μB/f.u.
# ΔE to the lowest computed polymorph = 190.6 meV per atom
# DFT formation energy = 0.00 eV/atom
# DOS(E_F) = 2.876 states/eV/cell
data_CsNaSn
_chemical_formula_sum 'Cs1 Na1 Sn1'
_cell_length_a 6.0737
_cell_length_b 6.0737
_cell_length_c 3.6670
_cell_angle_alpha 90.00
_cell_angle_beta 90.00
_cell_angle_gamma 120.00
_space_group_name_H-M_alt 'P 3 m 1'
_space_group_IT_number 156
_space_group_name_Hall 'P 3 -2"'
loop_
_atom_site_label
_atom_site_fract_x
_atom_site_fract_y
_atom_site_fract_z
_atom_site_occupancy
Cs1 0.0000 0.0000 0.0000 1
Na1 0.3333 0.6667 0.5074 1
Sn1 0.6667 0.3333 0.4975 1


Record 2
# Tb2AlRh3, relaxed, DFT GGA-PBE
# Magnetic moment = 0.0 μB/f.u.
# DFT formation energy = -0.92 eV/atom
# DOS(E_F) = 9.545 states/eV/cell
data_Tb2AlRh3
_chemical_formula_sum 'Tb6 Al3 Rh9'
_cell_length_a 5.6520
_cell_length_b 5.6520
_cell_length_c 11.7942
_cell_angle_alpha 90.00
_cell_angle_beta 90.00
_cell_angle_gamma 120.00
_space_group_name_H-M_alt 'R -3 m'
_space_group_IT_number 166
_space_group_name_Hall '-R 3 2"'
loop_
_atom_site_label
_atom_site_fract_x
_atom_site_fract_y
_atom_site_fract_z
_atom_site_occupancy
Tb1 0.0000 0.0000 0.1308 1
Al1 0.0000 0.0000 0.5000 1
Rh1 0.0000 0.5000 0.0000 1


Record 3
# MgTi2Se, relaxed, DFT GGA-PBE
# Magnetic moment = 0.0 μB/f.u.
# ΔE to the lowest computed polymorph = 0.0 meV per atom
# DOS(E_F) = 3.086 states/eV/cell
data_MgTi2Se
_chemical_formula_sum 'Mg4 Ti8 Se4'
_cell_length_a 7.3399
_cell_length_b 7.3399
_cell_length_c 5.6494
_cell_angle_alpha 90.00
_cell_angle_beta 90.00
_cell_angle_gamma 90.00
_space_group_name_H-M_alt 'I -4 2 d'
_space_group_IT_number 122
_space_group_name_Hall 'I -4 2bw'
loop_
_atom_site_label
_atom_site_fract_x
_atom_site_fract_y
_atom_site_fract_z
_atom_site_occupancy
Mg1 0.0000 0.0000 0.0000 1
Ti1 0.2123 0.2500 0.6250 1
Se1 0.0000 0.0000 0.5000 1


Record 4
# Th8ReBi2, relaxed, DFT GGA-PBE
# Magnetic moment = 0.0 μB/f.u.
# DFT formation energy = -0.06 eV/atom
# DOS(E_F) = 27.093 states/eV/cell
data_Th8ReBi2
_chemical_formula_sum 'Th16 Re2 Bi4'
_cell_length_a 18.7942
_cell_length_b 5.5814
_cell_length_c 6.9142
_cell_angle_alpha 90.00
_cell_angle_beta 109.14
_cell_angle_gamma 90.00
_space_group_name_H-M_alt 'C 1 2/m 1'
_space_group_IT_number 12
_space_group_name_Hall '-C 2y'
loop_
_atom_site_label
_atom_site_fract_x
_atom_site_fract_y
_atom_site_fract_z
_atom_site_occupancy
Th1 0.0006 0.0000 0.2336 1
Th2 0.0905 0.5000 0.7460 1
Th3 0.1406 0.5000 0.2977 1
Th4 0.2214 0.0000 0.1173 1
Re1 0.0000 0.5000 0.0000 1
Bi1 0.1709 0.0000 0.6038 1


no.,total DFT energy (no corrections) (eV/atom)
1,-2.0538
2,-6.7620
3,-5.3461
4,-7.2925